DFT (GGA-PBE) results for an optimized crystal structure of Tl3Zn2Hg4.

Calculated values
- Total energy: -1.17 eV/atom
- Energy relative to the elements: 0.035 eV/atom

```
data_Tl3Zn2Hg4
_space_group_name_H-M_alt 'P -1'
_space_group_IT_number 2
_space_group_name_Hall '-P 1'
_cell_length_a 4.223
_cell_length_b 6.857
_cell_length_c 8.820
_cell_angle_alpha 78.89
_cell_angle_beta 89.38
_cell_angle_gamma 72.18
loop_
_atom_site_label
_atom_site_type_symbol
_atom_site_fract_x
_atom_site_fract_y
_atom_site_fract_z
_atom_site_occupancy
Tl1 Tl 0.000 0.000 0.000 1
Tl2 Tl 0.391 0.233 0.283 1
Zn1 Zn 0.277 0.440 0.588 1
Hg1 Hg 0.079 0.853 0.375 1
Hg2 Hg 0.303 0.389 0.906 1
```